Entry 1:
LiInAs2 after structural relaxation. Source: the Alexandria database, functional PBE-GGA.

Values from the calculation:
N(E_F) (states/eV per cell): 12.10
Energy relative to the elements (eV/atom): 0.07

The structure in CIF format:
```
data_LiInAs2
_chemical_formula_sum 'Li4 In4 As8'
_cell_length_a 6.426
_cell_length_b 6.426
_cell_length_c 10.121
_cell_angle_alpha 90.00
_cell_angle_beta 90.00
_cell_angle_gamma 90.00
_symmetry_space_group_name_H-M 'I -4 2 d'
_symmetry_Int_Tables_number 122
_symmetry_space_group_name_Hall 'I -4 2bw'
loop_
_atom_site_label
_atom_site_fract_x
_atom_site_fract_y
_atom_site_fract_z
_atom_site_occupancy
Li1 0.000 0.000 0.000 1
In1 0.000 0.000 0.500 1
As1 0.236 0.250 0.125 1
```

Entry 2:
Pr2Sm6Ho3Mg after structural relaxation. Source: the Alexandria database, functional PBE-GGA.

Values from the calculation:
N(E_F) (states/eV per cell): 28.79
Energy relative to the elements (eV/atom): 0.01

The structure in CIF format:
```
data_Pr2Sm6Ho3Mg
_chemical_formula_sum 'Pr4 Sm12 Ho6 Mg2'
_cell_length_a 6.211
_cell_length_b 10.766
_cell_length_c 11.870
_cell_angle_alpha 90.00
_cell_angle_beta 100.11
_cell_angle_gamma 90.00
_symmetry_space_group_name_H-M 'C 1 2/m 1'
_symmetry_Int_Tables_number 12
_symmetry_space_group_name_Hall '-C 2y'
loop_
_atom_site_label
_atom_site_fract_x
_atom_site_fract_y
_atom_site_fract_z
_atom_site_occupancy
Pr1 0.000 0.167 0.000 1
Sm1 0.247 0.500 0.746 1
Sm2 0.249 0.335 0.253 1
Ho1 0.000 0.000 0.500 1
Ho2 0.000 0.334 0.500 1
Mg1 0.000 0.500 0.000 1
```

Entry 3:
SeCl2 after structural relaxation. Source: the Alexandria database, functional PBE-GGA.

Values from the calculation:
ΔE_f (raw) (eV per atom): 0.372
N(E_F) (states/eV per cell): 7.20

The structure in CIF format:
```
data_SeCl2
_chemical_formula_sum 'Se3 Cl6'
_cell_length_a 8.5225
_cell_length_b 8.5225
_cell_length_c 3.3173
_cell_angle_alpha 90.00
_cell_angle_beta 90.00
_cell_angle_gamma 120.00
_symmetry_space_group_name_H-M 'P -6 2 m'
_symmetry_Int_Tables_number 189
_symmetry_space_group_name_Hall 'P -6 -2'
loop_
_atom_site_label
_atom_site_fract_x
_atom_site_fract_y
_atom_site_fract_z
_atom_site_occupancy
Se1 0.0000 0.0000 0.0000 1
Se2 0.3333 0.6667 0.5000 1
Cl1 0.0000 0.2212 0.5000 1
Cl2 0.0000 0.5361 0.0000 1
```

Entry 4:
NdPdAu2 after structural relaxation. Source: the Alexandria database, functional PBE-GGA.

Values from the calculation:
E above lowest polymorph (meV/atom): 94
N(E_F) (states/eV per cell): 4.97
Energy relative to the elements (eV/atom): -0.61

The structure in CIF format:
```
data_NdPdAu2
_chemical_formula_sum 'Nd4 Pd4 Au8'
_cell_length_a 6.968
_cell_length_b 6.968
_cell_length_c 6.968
_cell_angle_alpha 90.00
_cell_angle_beta 90.00
_cell_angle_gamma 90.00
_symmetry_space_group_name_H-M 'F m -3 m'
_symmetry_Int_Tables_number 225
_symmetry_space_group_name_Hall '-F 4 2 3'
loop_
_atom_site_label
_atom_site_fract_x
_atom_site_fract_y
_atom_site_fract_z
_atom_site_occupancy
Nd1 0.000 0.000 0.000 1
Pd1 0.000 0.000 0.500 1
Au1 0.250 0.250 0.250 1
```

Entry 5:
NaLa2Cd6 after structural relaxation. Source: the Alexandria database, functional PBE-GGA.

Values from the calculation:
N(E_F) (states/eV per cell): 5.46
Energy relative to the elements (eV/atom): -0.28

The structure in CIF format:
```
data_NaLa2Cd6
_chemical_formula_sum 'Na1 La2 Cd6'
_cell_length_a 8.9074
_cell_length_b 8.9074
_cell_length_c 3.4695
_cell_angle_alpha 90.00
_cell_angle_beta 90.00
_cell_angle_gamma 120.00
_symmetry_space_group_name_H-M 'P 6/m m m'
_symmetry_Int_Tables_number 191
_symmetry_space_group_name_Hall '-P 6 2'
loop_
_atom_site_label
_atom_site_fract_x
_atom_site_fract_y
_atom_site_fract_z
_atom_site_occupancy
Na1 0.0000 0.0000 0.0000 1
La1 0.3333 0.6667 0.0000 1
Cd1 0.0000 0.3290 0.5000 1
```

Entry 6:
CaAlZnPd3 after structural relaxation. Source: the Alexandria database, functional PBE-GGA.

Values from the calculation:
N(E_F) (states/eV per cell): 11.12
Energy relative to the elements (eV/atom): -0.51

The structure in CIF format:
```
data_CaAlZnPd3
_chemical_formula_sum 'Ca4 Al4 Zn4 Pd12'
_cell_length_a 6.686
_cell_length_b 11.911
_cell_length_c 5.798
_cell_angle_alpha 90.00
_cell_angle_beta 90.00
_cell_angle_gamma 90.00
_symmetry_space_group_name_H-M 'C m c m'
_symmetry_Int_Tables_number 63
_symmetry_space_group_name_Hall '-C 2c 2'
loop_
_atom_site_label
_atom_site_fract_x
_atom_site_fract_y
_atom_site_fract_z
_atom_site_occupancy
Ca1 0.000 0.203 0.250 1
Al1 0.000 0.129 0.750 1
Zn1 0.000 0.446 0.250 1
Pd1 0.000 0.334 0.750 1
Pd2 0.208 0.000 0.000 1
```

Entry 7:
ErSc2In2Hg2 after structural relaxation. Source: the Alexandria database, functional PBE-GGA.

Values from the calculation:
N(E_F) (states/eV per cell): 14.18
Energy relative to the elements (eV/atom): -0.24

The structure in CIF format:
```
data_ErSc2In2Hg2
_chemical_formula_sum 'Er3 Sc6 In6 Hg6'
_cell_length_a 4.8058
_cell_length_b 4.8058
_cell_length_c 25.4571
_cell_angle_alpha 90.00
_cell_angle_beta 90.00
_cell_angle_gamma 120.00
_symmetry_space_group_name_H-M 'R -3 m'
_symmetry_Int_Tables_number 166
_symmetry_space_group_name_Hall '-R 3 2"'
loop_
_atom_site_label
_atom_site_fract_x
_atom_site_fract_y
_atom_site_fract_z
_atom_site_occupancy
Er1 0.0000 0.0000 0.0000 1
Sc1 0.0000 0.0000 0.1353 1
In1 0.0000 0.0000 0.2674 1
Hg1 0.0000 0.0000 0.4369 1
```

Entry 8:
Er5Tl4Ir after structural relaxation. Source: the Alexandria database, functional PBE-GGA.

Values from the calculation:
E above lowest polymorph (meV/atom): 0
N(E_F) (states/eV per cell): 8.47
Energy relative to the elements (eV/atom): -0.45

The structure in CIF format:
```
data_Er5Tl4Ir
_chemical_formula_sum 'Er5 Tl4 Ir1'
_cell_length_a 3.499
_cell_length_b 3.499
_cell_length_c 20.665
_cell_angle_alpha 90.00
_cell_angle_beta 90.00
_cell_angle_gamma 90.00
_symmetry_space_group_name_H-M 'P 4/m m m'
_symmetry_Int_Tables_number 123
_symmetry_space_group_name_Hall '-P 4 2'
loop_
_atom_site_label
_atom_site_fract_x
_atom_site_fract_y
_atom_site_fract_z
_atom_site_occupancy
Er1 0.000 0.000 0.000 1
Er2 0.000 0.000 0.208 1
Er3 0.000 0.000 0.421 1
Tl1 0.500 0.500 0.104 1
Tl2 0.500 0.500 0.311 1
Ir1 0.500 0.500 0.500 1
```

Entry 9:
Nb3Pt8 after structural relaxation. Source: the Alexandria database, functional PBE-GGA.

Values from the calculation:
N(E_F) (states/eV per cell): 26.03
Energy relative to the elements (eV/atom): -0.09

The structure in CIF format:
```
data_Nb3Pt8
_chemical_formula_sum 'Nb9 Pt24'
_cell_length_a 10.1302
_cell_length_b 10.1302
_cell_length_c 6.7799
_cell_angle_alpha 90.00
_cell_angle_beta 90.00
_cell_angle_gamma 120.00
_symmetry_space_group_name_H-M 'R -3'
_symmetry_Int_Tables_number 148
_symmetry_space_group_name_Hall '-R 3'
loop_
_atom_site_label
_atom_site_fract_x
_atom_site_fract_y
_atom_site_fract_z
_atom_site_occupancy
Nb1 0.0000 0.5000 0.0000 1
Pt1 0.0000 0.0000 0.3009 1
Pt2 0.0466 0.2720 0.9494 1
```

Entry 10:
Mg5W after structural relaxation. Source: the Alexandria database, functional PBE-GGA.

Values from the calculation:
E above lowest polymorph (meV/atom): 573
N(E_F) (states/eV per cell): 4.84
Energy relative to the elements (eV/atom): 0.81

The structure in CIF format:
```
data_Mg5W
_chemical_formula_sum 'Mg5 W1'
_cell_length_a 5.5196
_cell_length_b 5.5196
_cell_length_c 4.9311
_cell_angle_alpha 90.00
_cell_angle_beta 90.00
_cell_angle_gamma 120.00
_symmetry_space_group_name_H-M 'P 6/m m m'
_symmetry_Int_Tables_number 191
_symmetry_space_group_name_Hall '-P 6 2'
loop_
_atom_site_label
_atom_site_fract_x
_atom_site_fract_y
_atom_site_fract_z
_atom_site_occupancy
Mg1 0.0000 0.5000 0.0000 1
Mg2 0.3333 0.6667 0.5000 1
W1 0.0000 0.0000 0.5000 1
```

Entry 11:
LiErLuPd after structural relaxation. Source: the Alexandria database, functional PBE-GGA.

Values from the calculation:
N(E_F) (states/eV per cell): 9.70
Energy relative to the elements (eV/atom): -0.45

The structure in CIF format:
```
data_LiErLuPd
_chemical_formula_sum 'Li4 Er4 Lu4 Pd4'
_cell_length_a 6.998
_cell_length_b 6.998
_cell_length_c 6.998
_cell_angle_alpha 90.00
_cell_angle_beta 90.00
_cell_angle_gamma 90.00
_symmetry_space_group_name_H-M 'F -4 3 m'
_symmetry_Int_Tables_number 216
_symmetry_space_group_name_Hall 'F -4 2 3'
loop_
_atom_site_label
_atom_site_fract_x
_atom_site_fract_y
_atom_site_fract_z
_atom_site_occupancy
Li1 0.000 0.000 0.000 1
Er1 0.250 0.250 0.750 1
Lu1 0.250 0.250 0.250 1
Pd1 0.000 0.000 0.500 1
```

Entry 12:
Ba2TiNbRh after structural relaxation. Source: the Alexandria database, functional PBE-GGA.

Values from the calculation:
N(E_F) (states/eV per cell): 6.24
Energy relative to the elements (eV/atom): 1.18

The structure in CIF format:
```
data_Ba2TiNbRh
_chemical_formula_sum 'Ba2 Ti1 Nb1 Rh1'
_cell_length_a 5.983
_cell_length_b 5.983
_cell_length_c 4.687
_cell_angle_alpha 90.00
_cell_angle_beta 90.00
_cell_angle_gamma 90.00
_symmetry_space_group_name_H-M 'P 4/m m m'
_symmetry_Int_Tables_number 123
_symmetry_space_group_name_Hall '-P 4 2'
loop_
_atom_site_label
_atom_site_fract_x
_atom_site_fract_y
_atom_site_fract_z
_atom_site_occupancy
Ba1 0.000 0.500 0.000 1
Ti1 0.000 0.000 0.500 1
Nb1 0.000 0.000 0.000 1
Rh1 0.500 0.500 0.500 1
```

Entry 13:
LiIrI2O after structural relaxation. Source: the Alexandria database, functional PBE-GGA.

Values from the calculation:
ΔE_f (raw) (eV per atom): -0.398
E above lowest polymorph (meV/atom): 0
N(E_F) (states/eV per cell): 2.35

The structure in CIF format:
```
data_LiIrI2O
_chemical_formula_sum 'Li1 Ir1 I2 O1'
_cell_length_a 5.705
_cell_length_b 5.705
_cell_length_c 3.770
_cell_angle_alpha 90.00
_cell_angle_beta 90.00
_cell_angle_gamma 90.00
_symmetry_space_group_name_H-M 'P 4/m m m'
_symmetry_Int_Tables_number 123
_symmetry_space_group_name_Hall '-P 4 2'
loop_
_atom_site_label
_atom_site_fract_x
_atom_site_fract_y
_atom_site_fract_z
_atom_site_occupancy
Li1 0.000 0.000 0.000 1
Ir1 0.500 0.500 0.500 1
I1 0.000 0.500 0.500 1
O1 0.500 0.500 0.000 1
```

Entry 14:
Zn2SbPt9 after structural relaxation. Source: the Alexandria database, functional PBE-GGA.

Values from the calculation:
ΔE_f (raw) (eV per atom): -0.315
N(E_F) (states/eV per cell): 9.69

The structure in CIF format:
```
data_Zn2SbPt9
_chemical_formula_sum 'Zn2 Sb1 Pt9'
_cell_length_a 3.975
_cell_length_b 3.975
_cell_length_c 11.977
_cell_angle_alpha 90.00
_cell_angle_beta 90.00
_cell_angle_gamma 90.00
_symmetry_space_group_name_H-M 'P 4/m m m'
_symmetry_Int_Tables_number 123
_symmetry_space_group_name_Hall '-P 4 2'
loop_
_atom_site_label
_atom_site_fract_x
_atom_site_fract_y
_atom_site_fract_z
_atom_site_occupancy
Zn1 0.000 0.000 0.159 1
Sb1 0.000 0.000 0.500 1
Pt1 0.000 0.500 0.000 1
Pt2 0.000 0.500 0.323 1
Pt3 0.500 0.500 0.162 1
Pt4 0.500 0.500 0.500 1
```

Entry 15:
NaSr2RuO5 after structural relaxation. Source: the Alexandria database, functional PBE-GGA.

Values from the calculation:
ΔE_f (raw) (eV per atom): -1.865
N(E_F) (states/eV per cell): 2.83

The structure in CIF format:
```
data_NaSr2RuO5
_chemical_formula_sum 'Na2 Sr4 Ru2 O10'
_cell_length_a 3.932
_cell_length_b 6.077
_cell_length_c 11.533
_cell_angle_alpha 90.00
_cell_angle_beta 90.00
_cell_angle_gamma 90.00
_symmetry_space_group_name_H-M 'I m m m'
_symmetry_Int_Tables_number 71
_symmetry_space_group_name_Hall '-I 2 2'
loop_
_atom_site_label
_atom_site_fract_x
_atom_site_fract_y
_atom_site_fract_z
_atom_site_occupancy
Na1 0.000 0.000 0.000 1
Sr1 0.000 0.500 0.218 1
Ru1 0.000 0.000 0.500 1
O1 0.000 0.224 0.373 1
O2 0.000 0.500 0.000 1
```

Entry 16:
Zn2InCl after structural relaxation. Source: the Alexandria database, functional PBE-GGA.

Values from the calculation:
ΔE_f (raw) (eV per atom): -0.069
E above lowest polymorph (meV/atom): 131
N(E_F) (states/eV per cell): 0.72

The structure in CIF format:
```
data_Zn2InCl
_chemical_formula_sum 'Zn2 In1 Cl1'
_cell_length_a 3.448
_cell_length_b 3.448
_cell_length_c 7.265
_cell_angle_alpha 90.00
_cell_angle_beta 90.00
_cell_angle_gamma 90.00
_symmetry_space_group_name_H-M 'P 4/m m m'
_symmetry_Int_Tables_number 123
_symmetry_space_group_name_Hall '-P 4 2'
loop_
_atom_site_label
_atom_site_fract_x
_atom_site_fract_y
_atom_site_fract_z
_atom_site_occupancy
Zn1 0.000 0.000 0.248 1
In1 0.500 0.500 0.500 1
Cl1 0.500 0.500 0.000 1
```

Entry 17:
Fe2PbW after structural relaxation. Source: the Alexandria database, functional PBE-GGA.

Values from the calculation:
N(E_F) (states/eV per cell): 8.86
Energy relative to the elements (eV/atom): 0.73

The structure in CIF format:
```
data_Fe2PbW
_chemical_formula_sum 'Fe4 Pb2 W2'
_cell_length_a 3.916
_cell_length_b 3.916
_cell_length_c 8.176
_cell_angle_alpha 90.00
_cell_angle_beta 90.00
_cell_angle_gamma 90.00
_symmetry_space_group_name_H-M 'I -4 m 2'
_symmetry_Int_Tables_number 119
_symmetry_space_group_name_Hall 'I -4 -2'
loop_
_atom_site_label
_atom_site_fract_x
_atom_site_fract_y
_atom_site_fract_z
_atom_site_occupancy
Fe1 0.000 0.000 0.000 1
Fe2 0.000 0.500 0.250 1
Pb1 0.000 0.500 0.750 1
W1 0.000 0.000 0.500 1
```

Entry 18:
NaMgB14 after structural relaxation. Source: the Alexandria database, functional PBE-GGA.

Values from the calculation:
N(E_F) (states/eV per cell): 5.82
Energy relative to the elements (eV/atom): -0.09

The structure in CIF format:
```
data_NaMgB14
_chemical_formula_sum 'Na4 Mg4 B56'
_cell_length_a 5.963
_cell_length_b 10.635
_cell_length_c 8.265
_cell_angle_alpha 90.00
_cell_angle_beta 90.00
_cell_angle_gamma 90.00
_symmetry_space_group_name_H-M 'I m m a'
_symmetry_Int_Tables_number 74
_symmetry_space_group_name_Hall '-I 2b 2'
loop_
_atom_site_label
_atom_site_fract_x
_atom_site_fract_y
_atom_site_fract_z
_atom_site_occupancy
Na1 0.000 0.250 0.145 1
Mg1 0.250 0.250 0.750 1
B1 0.000 0.084 0.667 1
B2 0.000 0.121 0.877 1
B3 0.000 0.166 0.469 1
B4 0.158 0.059 0.336 1
B5 0.244 0.077 0.543 1
```

Entry 19:
Pm2TlN after structural relaxation. Source: the Alexandria database, functional PBE-GGA.

Values from the calculation:
ΔE_f (raw) (eV per atom): -0.877
E above lowest polymorph (meV/atom): 0
N(E_F) (states/eV per cell): 12.19

The structure in CIF format:
```
data_Pm2TlN
_chemical_formula_sum 'Pm6 Tl3 N3'
_cell_length_a 3.6621
_cell_length_b 3.6621
_cell_length_c 24.4785
_cell_angle_alpha 90.00
_cell_angle_beta 90.00
_cell_angle_gamma 120.00
_symmetry_space_group_name_H-M 'R -3 m'
_symmetry_Int_Tables_number 166
_symmetry_space_group_name_Hall '-R 3 2"'
loop_
_atom_site_label
_atom_site_fract_x
_atom_site_fract_y
_atom_site_fract_z
_atom_site_occupancy
Pm1 0.0000 0.0000 0.2230 1
Tl1 0.0000 0.0000 0.0000 1
N1 0.0000 0.0000 0.5000 1
```

Entry 20:
Ca3Ac2NdSe6 after structural relaxation. Source: the Alexandria database, functional PBE-GGA.

Values from the calculation:
ΔE_f (raw) (eV per atom): -1.903
N(E_F) (states/eV per cell): 8.38

The structure in CIF format:
```
data_Ca3Ac2NdSe6
_chemical_formula_sum 'Ca6 Ac4 Nd2 Se12'
_cell_length_a 18.877
_cell_length_b 4.277
_cell_length_c 8.662
_cell_angle_alpha 90.00
_cell_angle_beta 104.48
_cell_angle_gamma 90.00
_symmetry_space_group_name_H-M 'C 1 2/m 1'
_symmetry_Int_Tables_number 12
_symmetry_space_group_name_Hall '-C 2y'
loop_
_atom_site_label
_atom_site_fract_x
_atom_site_fract_y
_atom_site_fract_z
_atom_site_occupancy
Ca1 0.000 0.000 0.000 1
Ca2 0.166 0.500 0.334 1
Ac1 0.163 0.500 0.826 1
Nd1 0.000 0.000 0.500 1
Se1 0.006 0.500 0.249 1
Se2 0.164 0.000 0.093 1
Se3 0.168 0.000 0.568 1
```